Run w
This record from Alexandria describes a geometry-optimized GaS3O structure. The functional is PBE.

Geometry as CIF:
```
data_GaS3O
_chemical_formula_sum 'Ga1 S3 O1'
_space_group_name_H-M_alt 'P 1'
_space_group_IT_number 1
_space_group_name_Hall 'P 1'
_cell_length_a 4.286
_cell_length_b 4.286
_cell_length_c 4.286
_cell_angle_alpha 90.00
_cell_angle_beta 90.00
_cell_angle_gamma 90.00
loop_
_atom_site_label
_atom_site_type_symbol
_atom_site_fract_x
_atom_site_fract_y
_atom_site_fract_z
S1 S 0.500 0.000 0.000
S2 S 0.000 0.000 0.500
S3 S 0.000 0.500 0.000
O1 O 0.000 0.000 0.000
Ga1 Ga 0.500 0.500 0.500
```

Its crystal system is cubic. The total magnetic moment comes out at 0.0 μB per formula unit.


Run x
This record from Alexandria describes a geometry-optimized GaS3O structure. The functional is PBE.

Geometry as CIF:
```
data_GaS3O
_chemical_formula_sum 'Ga1 S3 O1'
_space_group_name_H-M_alt 'P 1'
_space_group_IT_number 1
_space_group_name_Hall 'P 1'
_cell_length_a 4.623
_cell_length_b 4.623
_cell_length_c 4.623
_cell_angle_alpha 90.00
_cell_angle_beta 90.00
_cell_angle_gamma 90.00
loop_
_atom_site_label
_atom_site_type_symbol
_atom_site_fract_x
_atom_site_fract_y
_atom_site_fract_z
Ga1 Ga 0.000 0.000 0.000
S1 S 0.000 0.000 0.500
S2 S 0.000 0.500 0.000
O1 O 0.500 0.500 0.500
S3 S 0.500 0.000 0.000
```

Its crystal system is cubic. The total magnetic moment comes out at 0.0 μB per formula unit.


Relative energies in kJ/mol of atoms: run w 0.0; run x 47.0